# TbY5Tl3

A relaxed TbY5Tl3 crystal (PBE, the Alexandria database).

Geometry as POSCAR:
```
TbY5Tl3
1.0
6.7564 0.0000 0.0000
0.0000 9.3897 0.0000
0.0000 -4.6949 8.1314
Tb Y Tl
2 10 6
direct
0.0000 0.0000 0.0000 Tb
0.5000 0.0000 0.0000 Tb
0.0000 0.6667 0.3333 Y
0.5000 0.3333 0.6667 Y
0.0000 0.3333 0.6667 Y
0.5000 0.6667 0.3333 Y
0.7500 0.6695 0.6695 Y
0.7500 0.0000 0.3305 Y
0.7500 0.3305 0.0000 Y
0.2500 0.3305 0.3305 Y
0.2500 0.0000 0.6695 Y
0.2500 0.6695 0.0000 Y
0.7500 0.3365 0.3365 Tl
0.7500 0.0000 0.6635 Tl
0.7500 0.6635 0.0000 Tl
0.2500 0.6635 0.6635 Tl
0.2500 0.0000 0.3365 Tl
0.2500 0.3365 0.0000 Tl
```

Computed properties:
Its total magnetization is 3.073 Bohr magnetons per cell. Its space group is P6_3/mcm. The value obtained for the calculated total energy is -93.4 eV per cell.